Record 1
{"formula": "Cs2RbHgCl", "functional": "PBE-GGA", "state": "optimized geometry", "space_group": "P4/mmm (123)", "e_above_lowest_polymorph_ev_per_atom": 0.000, "raw_formation_energy_ev_per_atom": -0.776, "lattice_angstrom": [[-0.7603, 4.1680, 5.3658], [1.8308, -4.7449, 3.9452], [6.5102, 1.9923, -0.6251]], "species": ["Cs", "Cs", "Hg", "Rb", "Cl"], "frac_coords": [[0.0000, 0.0000, 0.5000], [0.5000, 0.0000, 0.0000], [0.5000, 0.5000, 0.5000], [0.0000, 0.5000, 0.0000], [0.0000, 0.0000, 0.0000]]}

Record 2
{"formula": "Cs3RbHg2Cl8", "functional": "PBE-GGA", "state": "optimized geometry", "space_group": "P-3m1 (164)", "raw_formation_energy_ev_per_atom": -1.388, "lattice_angstrom": [[-7.0091, 3.3299, 2.4091], [1.2884, -1.4993, -7.8811], [-3.9632, -9.1299, 1.0890]], "species": ["Cs", "Cs", "Cs", "Rb", "Hg", "Hg", "Cl", "Cl", "Cl", "Cl", "Cl", "Cl", "Cl", "Cl"], "frac_coords": [[0.3333, 0.6667, 0.6050], [0.6667, 0.3333, 0.3950], [0.0000, 0.0000, 0.0000], [0.0000, 0.0000, 0.5000], [0.3333, 0.6667, 0.1789], [0.6667, 0.3333, 0.8211], [0.3333, 0.6667, 0.9367], [0.6667, 0.3333, 0.0633], [0.1733, 0.8267, 0.3032], [0.8267, 0.1733, 0.6968], [0.1733, 0.3466, 0.3032], [0.8267, 0.6534, 0.6968], [0.6534, 0.8267, 0.3032], [0.3466, 0.1733, 0.6968]]}